First-principles (PBE with a Hubbard U) data for a relaxed SrNiSe2O8 crystal, as listed in Alexandria.

Values from the calculation:
The electronic total energy comes out at -0.3992 Ry per atom.

Cell lengths 4.9888, 4.9888, 22.2444 Å; angles 90.00, 90.00, 120.00 degrees
Last column: nearest neighbours and their distance in Å.
Space group R-3 (No. 148, hexagonal axes)
Inequivalent atoms, fractional coordinates:
Sr 0.0000 0.0000 0.0000 (multiplicity 3)  12 O 2.90-2.98
Ni 0.0000 0.0000 0.5000 (multiplicity 3)  6 O 2.09
Se 0.0000 0.0000 0.2434 (multiplicity 6)  4 O 1.68
O 0.0000 0.0000 0.3188 (multiplicity 6)  1 Se 1.68
O 0.0050 0.6784 0.2232 (multiplicity 18)  1 Se 1.68